[1]
Below is a relaxed Cu4Ni crystal, with properties calculated at the GGA-PBE level.

```
data_Cu4Ni
_chemical_formula_sum 'Cu4 Ni1'
_cell_length_a 2.544
_cell_length_b 2.544
_cell_length_c 9.182
_cell_angle_alpha 97.96
_cell_angle_beta 97.96
_cell_angle_gamma 90.00
_symmetry_space_group_name_H-M 'P 1'
_symmetry_Int_Tables_number 1
_symmetry_space_group_name_Hall 'P 1'
loop_
_atom_site_label
_atom_site_type_symbol
_atom_site_fract_x
_atom_site_fract_y
_atom_site_fract_z
Cu1 Cu 0.402 0.402 0.804
Cu2 Cu 0.801 0.801 0.601
Cu3 Cu 0.199 0.199 0.399
Cu4 Cu 0.598 0.598 0.196
Ni1 Ni 0.000 0.000 0.000
```

## Properties
Space group ... I4/mmm, No. 139
M_tot ... 0.0000 μB per atom
ΔH_f (0 K) ... 0.009 eV/atom



[2]
Below is a relaxed Cu3Ni5 crystal, with properties calculated at the GGA-PBE level.

```
data_Cu3Ni5
_chemical_formula_sum 'Cu3 Ni5'
_cell_length_a 5.032
_cell_length_b 5.032
_cell_length_c 5.032
_cell_angle_alpha 59.84
_cell_angle_beta 59.84
_cell_angle_gamma 59.84
_symmetry_space_group_name_H-M 'P 1'
_symmetry_Int_Tables_number 1
_symmetry_space_group_name_Hall 'P 1'
loop_
_atom_site_label
_atom_site_type_symbol
_atom_site_fract_x
_atom_site_fract_y
_atom_site_fract_z
Cu1 Cu 0.500 0.500 0.000
Cu2 Cu 0.000 0.500 0.500
Cu3 Cu 0.500 0.000 0.500
Ni1 Ni 0.000 0.500 0.000
Ni2 Ni 0.500 0.000 0.000
Ni3 Ni 0.000 0.000 0.500
Ni4 Ni 0.500 0.500 0.500
Ni5 Ni 0.000 0.000 0.000
```

## Properties
Space group ... R-3m, No. 166
M_tot ... 0.3479 μB per atom
ΔH_f (0 K) ... 0.026 eV/atom



[3]
Below is a relaxed Cu17Ni2 crystal, with properties calculated at the GGA-PBE level.

```
data_Cu17Ni2
_chemical_formula_sum 'Cu17 Ni2'
_cell_length_a 6.327
_cell_length_b 6.327
_cell_length_c 6.327
_cell_angle_alpha 80.54
_cell_angle_beta 80.54
_cell_angle_gamma 80.54
_symmetry_space_group_name_H-M 'P 1'
_symmetry_Int_Tables_number 1
_symmetry_space_group_name_Hall 'P 1'
loop_
_atom_site_label
_atom_site_type_symbol
_atom_site_fract_x
_atom_site_fract_y
_atom_site_fract_z
Cu1 Cu 0.344 0.344 0.841
Cu2 Cu 0.344 0.841 0.344
Cu3 Cu 0.094 0.094 0.094
Cu4 Cu 0.906 0.906 0.906
Cu5 Cu 0.000 0.000 0.500
Cu6 Cu 0.500 0.000 0.000
Cu7 Cu 0.000 0.500 0.000
Cu8 Cu 0.320 0.680 0.000
Cu9 Cu 0.000 0.320 0.680
Cu10 Cu 0.680 0.000 0.320
Cu11 Cu 0.680 0.320 0.000
Cu12 Cu 0.000 0.680 0.320
Cu13 Cu 0.320 0.000 0.680
Cu14 Cu 0.656 0.159 0.656
Cu15 Cu 0.656 0.656 0.159
Cu16 Cu 0.159 0.656 0.656
Cu17 Cu 0.841 0.344 0.344
Ni1 Ni 0.709 0.709 0.709
Ni2 Ni 0.291 0.291 0.291
```

## Properties
Space group ... R-3m, No. 166
M_tot ... 0.0000 μB per atom
ΔH_f (0 K) ... 0.203 eV/atom



- The highest M_tot belongs to which entry?
  Cu3Ni5



- Number 3 is which compound?
  Cu17Ni2